No. 1
This record from the Alexandria database describes crystalline YTh3H8 at its relaxed geometry. The functional is GGA-PBE.

Values from the calculation:
Density, g cm⁻³: 8.387
Calculated total energy, eV per atom: -5.197
Symmetry: Pm-3m, No. 221

POSCAR file:
```
YTh3H8
1.0
-4.4700 2.9624 0.5909
-1.8243 -1.8061 -4.7451
-2.4077 -4.1314 2.4982
H Y Th
8 1 3
direct
0.2432 0.2432 0.2432 H
0.2432 0.7568 0.2432 H
0.7568 0.2432 0.7568 H
0.7568 0.7568 0.7568 H
0.2432 0.7568 0.7568 H
0.7568 0.2432 0.2432 H
0.2432 0.2432 0.7568 H
0.7568 0.7568 0.2432 H
0.0000 0.0000 0.0000 Y
0.0000 0.5000 0.5000 Th
0.5000 0.5000 0.0000 Th
0.5000 0.0000 0.5000 Th
```

No. 2
This record from the Alexandria database describes crystalline Th4Zn2H at its relaxed geometry. The functional is GGA-PBE.

Values from the calculation:
Density, g cm⁻³: 10.140
Calculated total energy, eV per atom: -5.113
Symmetry: I4/mmm, No. 139

POSCAR file:
```
Th4Zn2H
1.0
-1.2705 0.3155 4.4604
1.2730 -4.4195 0.6752
7.4085 0.3776 4.5058
Zn Th H
2 4 1
direct
0.3636 0.3636 0.2728 Zn
0.6364 0.6364 0.7272 Zn
0.5000 0.0000 0.0000 Th
0.8226 0.8226 0.3548 Th
0.1774 0.1774 0.6452 Th
0.0000 0.5000 0.0000 Th
0.0000 0.0000 0.0000 H
```

No. 3
This record from the Alexandria database describes crystalline Th2ZnH at its relaxed geometry. The functional is GGA-PBE.

Values from the calculation:
Density, g cm⁻³: 8.975
Calculated total energy, eV per atom: -4.739
Symmetry: R-3m, No. 166
Distance to the lowest polymorph of the same formula, kJ/mol of atoms: 20.3

POSCAR file:
```
Th2ZnH
1.0
-1.9560 -2.4765 -1.6564
1.0244 -3.4132 0.0589
-5.0143 -3.2460 6.9401
Th H Zn
2 1 1
direct
0.0790 0.0790 0.7631 Th
0.9210 0.9210 0.2369 Th
0.0000 0.0000 0.0000 H
0.5000 0.5000 0.5000 Zn
```

No. 4
This record from the Alexandria database describes crystalline Th2ZnH at its relaxed geometry. The functional is GGA-PBE.

Values from the calculation:
Density, g cm⁻³: 10.160
Calculated total energy, eV per atom: -4.950
Symmetry: Cm, No. 8
Distance to the lowest polymorph of the same formula, kJ/mol of atoms: 0.0

POSCAR file:
```
Th2ZnH
1.0
-1.5379 3.0650 -0.8251
-2.3231 0.1523 -2.6496
-7.2352 -0.5643 4.0144
Zn H Th
1 1 2
direct
0.5003 0.5003 0.4995 Zn
0.6654 0.6654 0.0036 H
0.0669 0.0669 0.8014 Th
0.2675 0.2675 0.1954 Th
```

No. 5
This record from the Alexandria database describes crystalline Th3Zn5H12 at its relaxed geometry. The functional is GGA-PBE.

Values from the calculation:
Density, g cm⁻³: 7.057
Calculated total energy, eV per atom: -3.486
Symmetry: Ia-3d, No. 230

POSCAR file:
```
Th3Zn5H12
1.0
10.8173 0.0000 0.0000
-3.6058 10.1986 0.0000
-3.6058 -5.0993 8.8323
Zn H Th
20 48 12
direct
0.8750 0.6250 0.7500 Zn
0.7500 0.6250 0.3750 Zn
0.7500 0.1250 0.8750 Zn
0.0000 0.5000 0.0000 Zn
0.6250 0.8750 0.2500 Zn
0.1250 0.7500 0.3750 Zn
0.5000 0.0000 0.0000 Zn
0.2500 0.8750 0.1250 Zn
0.0000 0.0000 0.0000 Zn
0.6250 0.7500 0.8750 Zn
0.0000 0.0000 0.5000 Zn
0.3750 0.2500 0.1250 Zn
0.1250 0.3750 0.2500 Zn
0.3750 0.1250 0.7500 Zn
0.0000 0.5000 0.5000 Zn
0.2500 0.3750 0.6250 Zn
0.5000 0.5000 0.5000 Zn
0.5000 0.5000 0.0000 Zn
0.8750 0.2500 0.6250 Zn
0.5000 0.0000 0.5000 Zn
0.5404 0.2871 0.8920 H
0.7533 0.6049 0.2129 H
0.1049 0.2129 0.2533 H
0.4596 0.7467 0.8516 H
0.8516 0.2467 0.4596 H
0.3951 0.1484 0.6080 H
0.1080 0.2129 0.4596 H
0.0404 0.3920 0.7871 H
0.7871 0.8951 0.2467 H
0.6080 0.9596 0.7129 H
0.7467 0.4596 0.3516 H
0.3951 0.2467 0.2871 H
0.2129 0.1080 0.9596 H
0.6484 0.6080 0.8951 H
0.9596 0.3516 0.2467 H
0.3516 0.3920 0.1049 H
0.8951 0.7871 0.7467 H
0.6080 0.6484 0.3951 H
0.2129 0.1049 0.7533 H
0.8516 0.6049 0.8920 H
0.2871 0.7467 0.3951 H
0.6484 0.0404 0.2533 H
0.1049 0.8920 0.3516 H
0.8951 0.1080 0.6484 H
0.2533 0.7129 0.1049 H
0.6049 0.8516 0.3920 H
0.7129 0.4596 0.6080 H
0.7871 0.8920 0.0404 H
0.3920 0.3516 0.6049 H
0.2871 0.5404 0.3920 H
0.5404 0.2533 0.1484 H
0.3920 0.0404 0.2871 H
0.1080 0.8951 0.1484 H
0.0404 0.6484 0.7533 H
0.1484 0.3951 0.1080 H
0.2467 0.8516 0.9596 H
0.8920 0.7871 0.5404 H
0.3516 0.9596 0.7467 H
0.8920 0.1049 0.8516 H
0.7533 0.1484 0.0404 H
0.6049 0.7533 0.7129 H
0.7129 0.2533 0.6049 H
0.7467 0.2871 0.8951 H
0.2467 0.3951 0.7871 H
0.9596 0.6080 0.2129 H
0.2533 0.5404 0.6484 H
0.4596 0.7129 0.1080 H
0.1484 0.7533 0.5404 H
0.2500 0.1250 0.3750 Th
0.3750 0.7500 0.6250 Th
0.6250 0.2500 0.3750 Th
0.8750 0.7500 0.1250 Th
0.1250 0.8750 0.7500 Th
0.7500 0.8750 0.6250 Th
0.3750 0.6250 0.2500 Th
0.2500 0.6250 0.8750 Th
0.8750 0.1250 0.2500 Th
0.1250 0.2500 0.8750 Th
0.7500 0.3750 0.1250 Th
0.6250 0.3750 0.7500 Th
```

No. 6
This record from the Alexandria database describes crystalline Th3ZnH at its relaxed geometry. The functional is GGA-PBE.

Values from the calculation:
Density, g cm⁻³: 10.682
Calculated total energy, eV per atom: -5.452
Symmetry: Pm-3m, No. 221

POSCAR file:
```
Th3ZnH
1.0
4.9123 0.0000 0.0000
0.0000 4.9123 0.0000
0.0000 0.0000 4.9123
Zn Th H
1 3 1
direct
0.5000 0.5000 0.5000 Zn
0.0000 0.5000 0.0000 Th
0.5000 0.0000 0.0000 Th
0.0000 0.0000 0.5000 Th
0.0000 0.0000 0.0000 H
```

No. 7
This record from the Alexandria database describes crystalline ThZrH2 at its relaxed geometry. The functional is GGA-PBE.

Values from the calculation:
Density, g cm⁻³: 9.326
Calculated total energy, eV per atom: -5.929
Symmetry: R-3m, No. 166
Distance to the lowest polymorph of the same formula, kJ/mol of atoms: 2.8

POSCAR file:
```
ThZrH2
1.0
3.3026 0.0000 0.0000
1.6513 2.8601 0.0000
1.6513 0.9534 6.1315
Th Zr H
1 1 2
direct
0.5000 0.5000 0.5000 Th
0.0000 0.0000 0.0000 Zr
0.7241 0.7241 0.8278 H
0.2759 0.2759 0.1722 H
```

No. 8
This record from the Alexandria database describes crystalline Th3Zr5H12 at its relaxed geometry. The functional is GGA-PBE.

Values from the calculation:
Density, g cm⁻³: 7.583
Calculated total energy, eV per atom: -5.669
Symmetry: Ia-3d, No. 230

POSCAR file:
```
Th3Zr5H12
1.0
-2.4804 -9.4785 -4.9628
7.6379 -1.7821 7.6883
-9.0224 4.1451 4.6944
H Zr Th
48 20 12
direct
0.1632 0.0829 0.9495 H
0.3368 0.5505 0.4171 H
0.4171 0.0505 0.3368 H
0.8665 0.5803 0.9171 H
0.7862 0.3368 0.9197 H
0.7138 0.5803 0.1632 H
0.5829 0.9495 0.6632 H
0.2138 0.6632 0.0803 H
0.4171 0.3665 0.5803 H
0.4197 0.1335 0.5829 H
0.9171 0.0803 0.8665 H
0.7862 0.4495 0.3665 H
0.6632 0.2138 0.5803 H
0.5505 0.3368 0.9171 H
0.4197 0.2862 0.3368 H
0.2862 0.4197 0.8368 H
0.1335 0.4197 0.0829 H
0.8368 0.9197 0.2862 H
0.5803 0.7138 0.6632 H
0.8368 0.9171 0.0505 H
0.0505 0.4171 0.8368 H
0.7138 0.1335 0.0505 H
0.0803 0.9171 0.3665 H
0.5803 0.8665 0.4171 H
0.3368 0.7862 0.4197 H
0.9197 0.0829 0.6335 H
0.3665 0.4171 0.0803 H
0.4495 0.6632 0.0829 H
0.5505 0.2138 0.1335 H
0.1335 0.7138 0.5505 H
0.6632 0.4495 0.5829 H
0.6335 0.0505 0.2138 H
0.0829 0.1632 0.4495 H
0.0803 0.1632 0.2138 H
0.8665 0.2862 0.4495 H
0.9197 0.8368 0.7862 H
0.2862 0.8665 0.9495 H
0.3665 0.9495 0.7862 H
0.4495 0.7862 0.8665 H
0.9495 0.5829 0.1632 H
0.5829 0.6335 0.4197 H
0.2138 0.5505 0.6335 H
0.9495 0.3665 0.2862 H
0.1632 0.0803 0.7138 H
0.6335 0.5829 0.9197 H
0.0829 0.9197 0.1335 H
0.9171 0.8368 0.5505 H
0.0505 0.6335 0.7138 H
0.0000 0.5000 0.0000 Zr
0.8750 0.6250 0.7500 Zr
0.6250 0.8750 0.2500 Zr
0.8750 0.2500 0.6250 Zr
0.5000 0.0000 0.0000 Zr
0.0000 0.0000 0.5000 Zr
0.3750 0.1250 0.7500 Zr
0.7500 0.6250 0.3750 Zr
0.3750 0.2500 0.1250 Zr
0.1250 0.7500 0.3750 Zr
0.2500 0.8750 0.1250 Zr
0.5000 0.0000 0.5000 Zr
0.2500 0.3750 0.6250 Zr
0.0000 0.0000 0.0000 Zr
0.0000 0.5000 0.5000 Zr
0.5000 0.5000 0.5000 Zr
0.7500 0.1250 0.8750 Zr
0.1250 0.3750 0.2500 Zr
0.6250 0.7500 0.8750 Zr
0.5000 0.5000 0.0000 Zr
0.2500 0.1250 0.3750 Th
0.6250 0.3750 0.7500 Th
0.2500 0.6250 0.8750 Th
0.1250 0.2500 0.8750 Th
0.7500 0.3750 0.1250 Th
0.1250 0.8750 0.7500 Th
0.7500 0.8750 0.6250 Th
0.8750 0.1250 0.2500 Th
0.6250 0.2500 0.3750 Th
0.3750 0.6250 0.2500 Th
0.8750 0.7500 0.1250 Th
0.3750 0.7500 0.6250 Th
```